Entry from Alexandria via LeMat-Bulk: crystalline RbNpZnO6 at its relaxed geometry (PBE).

Summary:
Formation energy (no corrections) in kJ per mole of atoms: -159.8

a = 5.3954 Å, b = 5.3954 Å, c = 6.4261 Å
α = 90.00°, β = 90.00°, γ = 120.00°
Sites, in units of the cell vectors:
Rb: 0.0000 0.0000 0.0000
Np: 0.3333 0.6667 0.5000
Zn: 0.6667 0.3333 0.5000
O: 0.0147 0.3823 0.6749
O: 0.0147 0.6324 0.3251
O: 0.3676 0.3823 0.3251
O: 0.3676 0.9853 0.6749
O: 0.6177 0.6324 0.6749
O: 0.6177 0.9853 0.3251